No. 1
Cu3Ni: optimized geometry, PBE.

Cell and atoms, written as extended XYZ:
```
4
Lattice="1.354 -2.068 0.000 1.354 2.068 0.000 0.000 0.000 8.320" Properties=species:S:1:pos:R:3 pbc="T T T"
Cu 0.000 0.000 0.000
Cu 1.354 0.000 2.112
Cu 1.354 0.000 6.209
Ni 0.000 0.000 4.160
```

Properties
Its space group is Cmmm. For the energy of formation from the pure elements, the calculation gives 4.3 kJ per mole of atoms. For the total energy, the calculation gives -17.89 eV per formula unit. The spin magnetization is 0.2 Bohr magnetons per cell. As for the calculated volume: 46.6 Å³/cell.



No. 2
Sn5Bi12Au3: optimized geometry, PBE.

Cell and atoms, written as extended XYZ:
```
80
Lattice="-9.135 9.135 9.135 9.135 -9.135 9.135 9.135 9.135 -9.135" Properties=species:S:1:pos:R:3 pbc="T T T"
Sn 0.000 0.000 0.000
Sn 4.567 4.567 -4.567
Sn 4.567 -4.567 4.567
Sn 9.135 0.000 0.000
Sn 13.702 2.284 0.000
Sn 9.135 -4.567 6.851
Sn 6.851 9.135 -4.567
Sn 6.851 0.000 4.567
Sn 4.567 6.851 0.000
Sn 9.135 4.567 2.284
Sn -4.567 4.567 4.567
Sn 0.000 9.135 0.000
Sn 0.000 0.000 9.135
Sn 4.567 4.567 4.567
Sn 0.000 4.567 6.851
Sn 4.567 2.284 9.135
Sn 2.284 9.135 4.567
Sn 2.284 0.000 13.702
Sn 0.000 13.702 2.284
Sn -4.567 6.851 9.135
Bi 12.173 -0.057 1.058
Bi 10.664 -3.510 4.511
Bi 3.038 0.057 1.058
Bi 10.664 5.625 -4.511
Bi 9.191 -1.058 3.038
Bi 13.646 -1.530 3.510
Bi 5.625 4.511 -1.530
Bi 8.077 3.038 -0.057
Bi 1.058 3.038 0.057
Bi 12.644 4.624 -1.530
Bi 0.057 1.058 3.038
Bi 4.511 -1.530 5.625
Bi 9.191 8.077 -3.038
Bi 4.511 1.530 3.510
Bi 3.510 4.511 1.530
Bi 10.193 6.097 -0.057
Bi 5.625 -4.511 10.664
Bi 8.077 -3.038 9.191
Bi 4.511 10.664 -3.510
Bi 9.191 1.058 6.097
Bi 1.530 3.510 4.511
Bi 3.038 -0.057 8.077
Bi 3.038 9.191 -1.058
Bi 10.664 3.510 4.624
Bi -1.530 5.625 4.511
Bi 6.097 -0.057 10.193
Bi 6.097 9.191 1.058
Bi 7.605 5.625 4.624
Bi -0.057 8.077 3.038
Bi 4.624 -1.530 12.644
Bi 1.058 12.173 -0.057
Bi 3.510 13.646 -1.530
Bi -1.058 3.038 9.191
Bi 5.625 4.624 7.605
Bi 4.624 7.605 5.625
Bi -0.057 1.058 12.173
Bi 4.624 10.664 3.510
Bi 9.078 8.077 6.097
Bi -3.510 4.511 10.664
Bi 8.077 6.097 9.078
Bi 1.058 6.097 9.191
Bi 3.510 4.624 10.664
Bi -4.511 10.664 5.625
Bi -0.057 10.193 6.097
Bi -1.530 3.510 13.646
Bi 6.097 9.078 8.077
Bi -1.530 12.644 4.624
Bi -3.038 9.191 8.077
Au 4.567 2.284 0.000
Au 9.135 4.567 -2.284
Au 2.284 0.000 4.567
Au 11.418 0.000 4.567
Au 0.000 4.567 2.284
Au 4.567 -2.284 9.135
Au 4.567 11.418 0.000
Au 9.135 4.567 6.851
Au -2.284 9.135 4.567
Au 6.851 9.135 4.567
Au 0.000 4.567 11.418
Au 4.567 6.851 9.135
```

Properties
Its space group is Ia-3d. For the energy of formation from the pure elements, the calculation gives 19.1 kJ per mole of atoms. For the total energy, the calculation gives -72.46 eV per formula unit. The spin magnetization is 0.0 Bohr magnetons per cell. As for the calculated volume: 3049.0 Å³/cell.



No. 3
TmLu3S: optimized geometry, PBE.

Cell and atoms, written as extended XYZ:
```
5
Lattice="5.179 0.000 0.000 0.000 5.179 0.000 0.000 0.000 5.179" Properties=species:S:1:pos:R:3 pbc="T T T"
Tm 0.000 0.000 0.000
Lu 0.000 2.590 2.590
Lu 2.590 0.000 2.590
Lu 2.590 2.590 0.000
S 2.590 2.590 2.590
```

Properties
Its space group is Pm-3m. For the total energy, the calculation gives -25.05 eV per formula unit. The spin magnetization is 1.8 Bohr magnetons per cell. As for the calculated volume: 138.9 Å³/cell. The value obtained for the formation energy (no corrections) is -0.577 eV/atom.



No. 4
Ce2GaRe: optimized geometry, PBE.

Cell and atoms, written as extended XYZ:
```
4
Lattice="3.488 0.000 0.000 0.000 3.488 0.000 0.000 0.000 7.393" Properties=species:S:1:pos:R:3 pbc="T T T"
Ce 0.000 0.000 1.705
Ce 0.000 0.000 5.688
Ga 1.744 1.744 3.696
Re 1.744 1.744 0.000
```

Properties
Its space group is P4/mmm. Its energy above the most stable polymorph in this dataset is 0 meV/atom. For the energy of formation from the pure elements, the calculation gives -12.8 kJ per mole of atoms. For the total energy, the calculation gives -27.87 eV per formula unit. The spin magnetization is 0.0 Bohr magnetons per cell. As for the calculated volume: 89.9 Å³/cell.



No. 5
HoTm12Co6: optimized geometry, PBE.

Cell and atoms, written as extended XYZ:
```
19
Lattice="-4.814 4.814 4.814 4.814 -4.814 4.814 4.814 4.814 -4.814" Properties=species:S:1:pos:R:3 pbc="T T T"
Ho 0.000 0.000 0.000
Tm 4.814 2.953 -1.847
Tm 2.966 0.000 1.861
Tm 6.661 0.000 1.861
Tm 1.861 2.966 0.000
Tm 2.953 -1.847 4.814
Tm 4.814 2.953 1.847
Tm 0.000 1.861 2.966
Tm 1.861 6.661 0.000
Tm 2.953 1.847 4.814
Tm -1.847 4.814 2.953
Tm 1.847 4.814 2.953
Tm 0.000 1.861 6.661
Co 4.814 1.101 0.000
Co 4.814 0.000 3.713
Co 3.713 4.814 0.000
Co 1.101 0.000 4.814
Co 0.000 4.814 1.101
Co 0.000 3.713 4.814
```

Properties
Its space group is Im-3. For the energy of formation from the pure elements, the calculation gives -15.7 kJ per mole of atoms. For the total energy, the calculation gives -103.97 eV per formula unit. The spin magnetization is 0.0 Bohr magnetons per cell. As for the calculated volume: 446.2 Å³/cell.



No. 6
TaCr2Hg: optimized geometry, PBE.

Cell and atoms, written as extended XYZ:
```
4
Lattice="3.190 0.000 0.000 0.000 3.190 0.000 0.000 0.000 6.441" Properties=species:S:1:pos:R:3 pbc="T T T"
Ta 0.000 0.000 0.000
Cr 1.595 1.595 1.461
Cr 1.595 1.595 4.979
Hg 0.000 0.000 3.220
```

Properties
Its space group is P4/mmm. For the energy of formation from the pure elements, the calculation gives 34.2 kJ per mole of atoms. For the total energy, the calculation gives -29.98 eV per formula unit. The spin magnetization is 4.2 Bohr magnetons per cell. As for the calculated volume: 65.6 Å³/cell.



Copy entry 4 word for word.
Ce2GaRe: optimized geometry, PBE.

Cell and atoms, written as extended XYZ:
```
4
Lattice="3.488 0.000 0.000 0.000 3.488 0.000 0.000 0.000 7.393" Properties=species:S:1:pos:R:3 pbc="T T T"
Ce 0.000 0.000 1.705
Ce 0.000 0.000 5.688
Ga 1.744 1.744 3.696
Re 1.744 1.744 0.000
```

Properties
Its space group is P4/mmm. Its energy above the most stable polymorph in this dataset is 0 meV/atom. For the energy of formation from the pure elements, the calculation gives -12.8 kJ per mole of atoms. For the total energy, the calculation gives -27.87 eV per formula unit. The spin magnetization is 0.0 Bohr magnetons per cell. As for the calculated volume: 89.9 Å³/cell.